Record 1
A relaxed Sm2DyHg4 crystal, computed with GGA-PBE.

Geometry as CIF:
```
data_Sm2DyHg4
_chemical_formula_sum 'Sm2 Dy1 Hg4'
_symmetry_space_group_name_H-M 'P 1'
_symmetry_Int_Tables_number 1
_symmetry_space_group_name_Hall 'P 1'
_cell_length_a 5.138
_cell_length_b 5.138
_cell_length_c 9.343
_cell_angle_alpha 74.04
_cell_angle_beta 74.04
_cell_angle_gamma 60.00
loop_
_atom_site_label
_atom_site_type_symbol
_atom_site_fract_x
_atom_site_fract_y
_atom_site_fract_z
Sm1 Sm 0.756 0.756 0.732
Sm2 Sm 0.244 0.244 0.268
Dy1 Dy 0.000 0.000 0.000
Hg1 Hg 0.874 0.874 0.379
Hg2 Hg 0.126 0.126 0.621
Hg3 Hg 0.628 0.628 0.116
Hg4 Hg 0.372 0.372 0.884
```

Properties
ΔE_f (eV per formula unit): -2.4

Record 2
A relaxed PmPuC crystal, computed with GGA-PBE.

Geometry as CIF:
```
data_PmPuC
_chemical_formula_sum 'Pm1 Pu1 C1'
_symmetry_space_group_name_H-M 'P 1'
_symmetry_Int_Tables_number 1
_symmetry_space_group_name_Hall 'P 1'
_cell_length_a 3.203
_cell_length_b 3.203
_cell_length_c 6.466
_cell_angle_alpha 104.34
_cell_angle_beta 104.34
_cell_angle_gamma 90.00
loop_
_atom_site_label
_atom_site_type_symbol
_atom_site_fract_x
_atom_site_fract_y
_atom_site_fract_z
C1 C 0.677 0.677 0.354
Pm1 Pm 0.047 0.047 0.095
Pu1 Pu 0.276 0.276 0.551
```

Properties
ΔE_f (eV per formula unit): 1.0

Record 3
A relaxed Tm2GaHg3 crystal, computed with GGA-PBE.

Geometry as CIF:
```
data_Tm2GaHg3
_chemical_formula_sum 'Tm2 Ga1 Hg3'
_symmetry_space_group_name_H-M 'P 1'
_symmetry_Int_Tables_number 1
_symmetry_space_group_name_Hall 'P 1'
_cell_length_a 3.602
_cell_length_b 4.404
_cell_length_c 9.800
_cell_angle_alpha 102.99
_cell_angle_beta 100.59
_cell_angle_gamma 90.00
loop_
_atom_site_label
_atom_site_type_symbol
_atom_site_fract_x
_atom_site_fract_y
_atom_site_fract_z
Tm1 Tm 0.108 0.108 0.216
Tm2 Tm 0.893 0.393 0.786
Ga1 Ga 0.458 0.958 0.916
Hg1 Hg 0.693 0.693 0.386
Hg2 Hg 0.537 0.537 0.073
Hg3 Hg 0.311 0.811 0.623
```

Properties
ΔE_f (eV per formula unit): -1.5

Record 4
A relaxed Ba8P3PdCl4 crystal, computed with GGA-PBE.

Geometry as CIF:
```
data_Ba8P3PdCl4
_chemical_formula_sum 'Ba8 P3 Pd1 Cl4'
_symmetry_space_group_name_H-M 'P 1'
_symmetry_Int_Tables_number 1
_symmetry_space_group_name_Hall 'P 1'
_cell_length_a 9.319
_cell_length_b 9.359
_cell_length_c 9.320
_cell_angle_alpha 119.86
_cell_angle_beta 120.00
_cell_angle_gamma 90.00
loop_
_atom_site_label
_atom_site_type_symbol
_atom_site_fract_x
_atom_site_fract_y
_atom_site_fract_z
Ba1 Ba 0.244 0.724 0.980
Ba2 Ba 0.244 0.724 0.488
Ba3 Ba 0.258 0.274 0.516
Ba4 Ba 0.736 0.724 0.980
Ba5 Ba 0.264 0.276 0.020
Ba6 Ba 0.742 0.726 0.484
Ba7 Ba 0.756 0.276 0.512
Ba8 Ba 0.756 0.276 0.020
P1 P 0.500 0.500 0.000
P2 P 0.500 0.500 0.500
P3 P 0.000 0.500 0.500
Pd1 Pd 0.000 0.500 0.000
Cl1 Cl 0.500 0.000 0.000
Cl2 Cl 0.500 0.000 0.500
Cl3 Cl 0.000 0.000 0.000
Cl4 Cl 0.000 0.000 0.500
```

Properties
Formation energy from raw total energies (eV/f.u.): -24.5

Record 5
A relaxed Pm2BiF crystal, computed with GGA-PBE.

Geometry as CIF:
```
data_Pm2BiF
_chemical_formula_sum 'Pm2 Bi1 F1'
_symmetry_space_group_name_H-M 'P 1'
_symmetry_Int_Tables_number 1
_symmetry_space_group_name_Hall 'P 1'
_cell_length_a 4.194
_cell_length_b 4.194
_cell_length_c 7.212
_cell_angle_alpha 73.10
_cell_angle_beta 73.10
_cell_angle_gamma 60.00
loop_
_atom_site_label
_atom_site_type_symbol
_atom_site_fract_x
_atom_site_fract_y
_atom_site_fract_z
F1 F 0.500 0.500 0.500
Bi1 Bi 0.000 0.000 0.000
Pm1 Pm 0.766 0.766 0.703
Pm2 Pm 0.234 0.234 0.297
```

Properties
Formation energy from raw total energies (eV/f.u.): -5.9

Record 6
A relaxed HfGe2N2 crystal, computed with GGA-PBE.

Geometry as CIF:
```
data_HfGe2N2
_chemical_formula_sum 'Hf1 Ge2 N2'
_symmetry_space_group_name_H-M 'P 1'
_symmetry_Int_Tables_number 1
_symmetry_space_group_name_Hall 'P 1'
_cell_length_a 3.298
_cell_length_b 3.298
_cell_length_c 7.446
_cell_angle_alpha 77.20
_cell_angle_beta 77.20
_cell_angle_gamma 90.00
loop_
_atom_site_label
_atom_site_type_symbol
_atom_site_fract_x
_atom_site_fract_y
_atom_site_fract_z
Ge1 Ge 0.750 0.250 0.500
Ge2 Ge 0.250 0.750 0.500
Hf1 Hf 0.000 0.000 0.000
N1 N 0.449 0.449 0.103
N2 N 0.551 0.551 0.897
```

Properties
Formation energy from raw total energies (eV/f.u.): 1.9

Taking the records one at a time from the top gives total energy values of -2.5230, -9.1179, -2.4024, -4.2944, -5.2867, -6.7804 eV/atom.